A geometry-optimized Os3PbF structure, computed with PBE.

Values from the calculation:
Total energy, eV for the cell shown: -23.61
Energy above the lowest structure with this stoichiometry, meV/atom: 1375
Uncorrected formation energy, eV per atom: 3.132
Space-group type: Pm-3m, No. 221
Spin magnetization, μB/cell: 6.81
Density of states at the Fermi level, states/eV/f.u.: 5.273

Unit cell a=5.101 b=5.101 c=5.101 alpha=90.00 beta=90.00 gamma=90.00
Sites, in units of the cell vectors:
1 Os 0.000 0.000 0.500
2 Os 0.000 0.500 0.000
3 Os 0.500 0.000 0.000
4 Pb 0.000 0.000 0.000
5 F 0.500 0.500 0.500